Computed, not measured: a geometry-optimized V6Ga5 structure at the PBE level of DFT.

E above lowest polymorph in eV per atom: 0.243
Space-group type: C2/m

a = 7.177 Å, b = 6.012 Å, c = 4.945 Å
α = 79.75°, β = 72.65°, γ = 53.35°
Fractional positions:
Ga (0.232, 0.536, 0.500)
Ga (0.768, 0.464, 0.500)
Ga (0.367, 0.266, 0.000)
Ga (0.633, 0.734, 0.000)
Ga (0.500, 0.000, 0.500)
V (0.830, 0.000, 0.686)
V (0.297, 0.745, 0.853)
V (0.042, 0.255, 0.853)
V (0.703, 0.255, 0.147)
V (0.170, 0.000, 0.314)
V (0.958, 0.745, 0.147)


Computed, not measured: a geometry-optimized V8Ga3 structure at the PBE level of DFT.

Space-group type: C2/m

a = 3.219 Å, b = 4.824 Å, c = 10.687 Å
α = 103.37°, β = 90.00°, γ = 109.49°
Fractional positions:
V (0.161, 0.322, 0.268)
V (0.638, 0.276, 0.451)
V (0.265, 0.531, 0.904)
V (0.553, 0.107, 0.821)
V (0.362, 0.724, 0.549)
V (0.839, 0.678, 0.732)
V (0.447, 0.893, 0.179)
V (0.735, 0.469, 0.096)
Ga (0.896, 0.792, 0.359)
Ga (0.104, 0.208, 0.641)
Ga (0.000, 0.000, 0.000)


no.,VASP energy (eV/cell),total magnetic moment (μB per formula unit),ΔE_f (meV per atom)
1,-69.5,0.000,28
2,-83.8,0.000,-160